First-principles (PBE-GGA) data for RbPdIN2 after structural relaxation, as listed in Alexandria via LeMat-Bulk.

a = 5.254 Å, b = 5.254 Å, c = 7.254 Å
α = 90.00°, β = 90.00°, γ = 90.00°
Each line ends with the local moment (μB).
Sites, in units of the cell vectors:
I1 0.000 0.000 0.500  0.10
Rb1 0.000 0.000 0.000  0.09
Pd1 0.500 0.500 0.500  0.54
N1 0.000 0.500 0.000  1.71
N2 0.500 0.000 0.000  1.71

Computed properties:
**Total moment**: 1.21 μB/atom
**Calculated volume**: 40.05 A^3/atom
**Mass density**: 2.88 Mg/m³
**Relative energy among the computed polymorphs**: 432 kJ/mol of formula units
**N(E_F)**: 7.58 states/eV/cell